Record 1
Computed, not measured: a geometry-optimized FeSiF structure at the PBE+U level of DFT.

Computed properties:
Total magnetization   2.5 μB/f.u.
Energy   -5.003 eV per atom

Cell lengths 3.0000, 3.0000, 11.1579 Å; angles 90.00, 90.00, 120.00 degrees
Positions (direct):
1 Fe 0.0000 0.0000 0.0000
2 Fe 0.3333 0.6667 0.8269
3 Si 0.0000 0.0000 0.6779
4 Si 0.6667 0.3333 0.1445
5 F 0.0000 0.0000 0.5334
6 F 0.6667 0.3333 0.2888

---

Record 2
Computed, not measured: a geometry-optimized Fe2SiF structure at the PBE+U level of DFT.

Computed properties:
Total magnetization   7.0 μB/f.u.
Energy   -4.809 eV per atom

Cell lengths 5.4657, 5.4657, 5.4657 Å; angles 110.22, 110.22, 107.98 degrees
Positions (direct):
1 Fe 0.0786 0.6250 0.9536
2 Fe 0.3750 0.3286 0.4536
3 Fe 0.6714 0.1250 0.0464
4 Fe 0.8750 0.9214 0.5464
5 Si 0.2500 0.7500 0.5000
6 Si 0.5000 0.5000 0.0000
7 F 0.0000 0.0000 0.0000
8 F 0.7500 0.2500 0.5000

---

Record 3
Computed, not measured: a geometry-optimized TiFeSi2F structure at the PBE+U level of DFT.

Computed properties:
Total magnetization   2.8 μB/f.u.
Energy   -4.473 eV per atom

Cell lengths 4.7919, 4.7919, 4.9049 Å; angles 90.00, 90.00, 90.00 degrees
Positions (direct):
1 Ti 0.0000 0.0000 0.0000
2 Fe 0.0000 0.0000 0.5000
3 Si 0.0000 0.5000 0.0000
4 Si 0.5000 0.0000 0.0000
5 F 0.5000 0.5000 0.5000

---

Record 4
Computed, not measured: a geometry-optimized Fe2SiWF structure at the PBE+U level of DFT.

Computed properties:
Total magnetization   3.5 μB/f.u.
Energy   -4.248 eV per atom

Cell lengths 5.2943, 5.2943, 4.0465 Å; angles 90.00, 90.00, 90.00 degrees
Positions (direct):
1 Fe 0.0000 0.5000 0.0000
2 Fe 0.5000 0.0000 0.0000
3 Si 0.0000 0.0000 0.5000
4 W 0.5000 0.5000 0.0000
5 F 0.5000 0.5000 0.5000

---

Record 5
Computed, not measured: a geometry-optimized SmFe2F8 structure at the PBE+U level of DFT.

Computed properties:
Total magnetization   9.0 μB/f.u.
Energy   -5.742 eV per atom

Cell lengths 5.5274, 5.5274, 5.3421 Å; angles 99.70, 99.70, 71.56 degrees
Positions (direct):
1 Sm 0.0000 0.0000 0.0000
2 Fe 0.3310 0.3310 0.5553
3 Fe 0.6690 0.6690 0.4447
4 F 0.0543 0.6586 0.6830
5 F 0.1858 0.1858 0.7887
6 F 0.3414 0.9457 0.3170
7 F 0.4364 0.4364 0.2632
8 F 0.5636 0.5636 0.7368
9 F 0.6586 0.0543 0.6830
10 F 0.8142 0.8142 0.2113
11 F 0.9457 0.3414 0.3170

---

Record 6
Computed, not measured: a geometry-optimized FeSn2F structure at the PBE+U level of DFT.

Computed properties:
Total magnetization   3.0 μB/f.u.
Energy   -4.068 eV per atom

Cell lengths 4.7341, 4.7341, 4.7341 Å; angles 60.00, 60.00, 60.00 degrees
Positions (direct):
1 Fe 0.0000 0.0000 0.0000
2 Sn 0.2500 0.2500 0.2500
3 Sn 0.7500 0.7500 0.7500
4 F 0.5000 0.5000 0.5000

---

> Which value of energy does entry 1 give?

-5.003 eV per atom